Record 1
Density functional theory data (PBE) for an optimized crystal structure of Hg2RhS.

Its symmetry is I-42d (122). The calculation puts the formation energy from raw total energies at 0.380 eV/atom. For the total energy, the calculation gives -2.641 eV/atom. The density of states at the Fermi level is 2.37 states/eV/f.u.

Cell lengths 7.6813, 7.6813, 5.4395 Å; angles 90.00, 90.00, 90.00 degrees
Last column: nearest neighbours and their distance in Å.
Fractional positions:
Hg (0.2444, 0.2500, 0.1250)  2 Hg 2.72, 2 S 2.77, 2 Rh 2.83
Hg (0.2500, 0.7444, 0.3750)  2 Hg 2.72, 2 S 2.77, 2 Rh 2.83
Hg (0.2500, 0.7556, 0.8750)  2 Hg 2.72, 2 S 2.77, 2 Rh 2.83
Hg (0.2556, 0.2500, 0.6250)  2 Hg 2.72, 2 S 2.77, 2 Rh 2.83
Hg (0.7444, 0.7500, 0.6250)  2 Hg 2.72, 2 S 2.77, 2 Rh 2.83
Hg (0.7500, 0.2444, 0.8750)  2 Hg 2.72, 2 S 2.77, 2 Rh 2.83
Hg (0.7500, 0.2556, 0.3750)  2 Hg 2.72, 2 S 2.77, 2 Rh 2.83
Hg (0.7556, 0.7500, 0.1250)  2 Hg 2.72, 2 S 2.77, 2 Rh 2.83
Rh (0.0000, 0.0000, 0.5000)  2 S 2.72, 4 Hg 2.83
Rh (0.0000, 0.5000, 0.7500)  2 S 2.72, 4 Hg 2.83
Rh (0.5000, 0.0000, 0.2500)  2 S 2.72, 4 Hg 2.83
Rh (0.5000, 0.5000, 0.0000)  2 S 2.72, 4 Hg 2.83
S (0.0000, 0.0000, 0.0000)  2 Rh 2.72, 4 Hg 2.77
S (0.0000, 0.5000, 0.2500)  2 Rh 2.72, 4 Hg 2.77
S (0.5000, 0.0000, 0.7500)  2 Rh 2.72, 4 Hg 2.77
S (0.5000, 0.5000, 0.5000)  2 Rh 2.72, 4 Hg 2.77

---

Record 2
Density functional theory data (PBE) for an optimized crystal structure of HgRh2S2.

Its symmetry is I4/mmm (139). The calculation puts the formation energy from raw total energies at -0.189 eV/atom. For the total energy, the calculation gives -4.841 eV/atom. The density of states at the Fermi level is 4.51 states/eV/f.u.

Cell lengths 3.9150, 3.9150, 15.3188 Å; angles 90.00, 90.00, 90.00 degrees
Last column: nearest neighbours and their distance in Å.
Fractional positions:
Hg (0.0000, 0.0000, 0.0000)  8 S 3.75, 4 Hg 3.92
Hg (0.5000, 0.5000, 0.5000)  8 S 3.75, 4 Hg 3.92
Rh (0.0000, 0.5000, 0.2500)  4 S 2.35
Rh (0.0000, 0.5000, 0.7500)  4 S 2.35
Rh (0.5000, 0.0000, 0.2500)  4 S 2.35
Rh (0.5000, 0.0000, 0.7500)  4 S 2.35
S (0.0000, 0.0000, 0.3344)  4 Rh 2.35
S (0.0000, 0.0000, 0.6656)  4 Rh 2.35
S (0.5000, 0.5000, 0.1656)  4 Rh 2.35
S (0.5000, 0.5000, 0.8344)  4 Rh 2.35

---

- What is the formation energy from raw total energies in the first record?
  0.380 eV/atom